Material: LiZr2Zn
Method: DFT, PBE
State: optimized geometry

Results
E_tot = -19.9 eV per cell

a = 10.763 Å, b = 10.763 Å, c = 10.763 Å
α = 15.83°, β = 15.83°, γ = 15.83°
Fractional positions:
Li (0.000, 0.000, 0.000)
Zr (0.245, 0.245, 0.245)
Zr (0.755, 0.755, 0.755)
Zn (0.500, 0.500, 0.500)

=====

Material: LiZrZn10
Method: DFT, PBE
State: optimized geometry

Results
E_tot = -24.5 eV per cell

a = 4.222 Å, b = 5.127 Å, c = 8.947 Å
α = 90.00°, β = 90.00°, γ = 90.00°
Fractional positions:
Li (0.000, 0.000, 0.000)
Zr (0.000, 0.500, 0.500)
Zn (0.000, 0.000, 0.324)
Zn (0.000, 0.000, 0.676)
Zn (0.000, 0.500, 0.161)
Zn (0.000, 0.500, 0.839)
Zn (0.500, 0.000, 0.500)
Zn (0.500, 0.258, 0.262)
Zn (0.500, 0.258, 0.738)
Zn (0.500, 0.500, 0.000)
Zn (0.500, 0.742, 0.262)
Zn (0.500, 0.742, 0.738)

=====

Material: LiZrZn2
Method: DFT, PBE
State: optimized geometry

Results
E_tot = -13.4 eV per cell
relative energy among the computed polymorphs = 0.0985 eV/atom

a = 5.502 Å, b = 5.502 Å, c = 5.072 Å
α = 104.64°, β = 104.64°, γ = 28.66°
Fractional positions:
Li (0.000, 0.000, 0.000)
Zr (0.198, 0.198, 0.618)
Zn (0.451, 0.451, 0.478)
Zn (0.758, 0.758, 0.141)

=====

Material: Li2ZrZn
Method: DFT, PBE
State: optimized geometry

Results
E_tot = -12.8 eV per cell

a = 4.599 Å, b = 4.599 Å, c = 3.220 Å
α = 90.00°, β = 90.00°, γ = 90.00°
Fractional positions:
Li (0.000, 0.500, 0.000)
Li (0.500, 0.000, 0.000)
Zr (0.000, 0.000, 0.500)
Zn (0.500, 0.500, 0.500)

=====

Material: LiZr2Zn
Method: DFT, PBE
State: optimized geometry

Results
E_tot = -20.3 eV per cell

a = 4.662 Å, b = 4.662 Å, c = 3.434 Å
α = 90.00°, β = 90.00°, γ = 90.09°
Fractional positions:
Li (0.000, 0.000, 0.000)
Zr (0.000, 0.500, 0.500)
Zr (0.500, 0.000, 0.500)
Zn (0.500, 0.500, 0.000)

=====

Material: Li2ZrZn
Method: DFT, PBE
State: optimized geometry

Results
E_tot = -13.3 eV per cell

a = 2.747 Å, b = 4.220 Å, c = 5.987 Å
α = 90.00°, β = 90.00°, γ = 90.00°
Fractional positions:
Li (0.000, 0.000, 0.214)
Li (0.000, 0.000, 0.786)
Zr (0.500, 0.500, 0.500)
Zn (0.500, 0.500, 0.000)

=====

For reference, ΔE_f by record: 0.4 -1.3 -0.4 0.9 0.0 0.4 eV per formula unit.